Entry 1:
ScSb2AsI | PBE | optimized geometry Values from VASP.

Structure (Quantum ESPRESSO input):
```
&SYSTEM
  ibrav = 0, nat = 5, ntyp = 4
/
ATOMIC_SPECIES
Sc 44.96 Sc.upf
Sb 121.76 Sb.upf
I 126.90 I.upf
As 74.92 As.upf
CELL_PARAMETERS angstrom
5.380 0.000 0.000
0.000 5.380 0.000
0.000 0.000 5.442
ATOMIC_POSITIONS angstrom
Sc 2.690 2.690 2.721
Sb 0.000 2.690 0.000
Sb 2.690 0.000 0.000
I 0.000 0.000 2.721
As 0.000 0.000 0.000
```

Raw formation energy (eV/atom): 0.44
Space-group type: No. 123
Density of states at the Fermi level (states/eV/f.u.): 3.96
DFT total energy (eV/atom): -3.717

Entry 2:
ScSb2AsI | PBE | optimized geometry Values from VASP.

Structure (Quantum ESPRESSO input):
```
&SYSTEM
  ibrav = 0, nat = 5, ntyp = 4
/
ATOMIC_SPECIES
Sb 121.76 Sb.upf
As 74.92 As.upf
I 126.90 I.upf
Sc 44.96 Sc.upf
CELL_PARAMETERS angstrom
5.622 0.000 0.000
0.000 5.622 0.000
0.000 0.000 5.386
ATOMIC_POSITIONS angstrom
Sb 2.811 0.000 0.000
Sb 0.000 2.811 0.000
As 2.811 2.811 2.693
I 0.000 0.000 2.693
Sc 0.000 0.000 0.000
```

Raw formation energy (eV/atom): 0.38
Space-group type: No. 123
Density of states at the Fermi level (states/eV/f.u.): 5.00
DFT total energy (eV/atom): -3.778

Entry 3:
SbAsSe2I | PBE | optimized geometry Values from VASP.

Structure (Quantum ESPRESSO input):
```
&SYSTEM
  ibrav = 0, nat = 5, ntyp = 4
/
ATOMIC_SPECIES
As 74.92 As.upf
Sb 121.76 Sb.upf
Se 78.96 Se.upf
I 126.90 I.upf
CELL_PARAMETERS angstrom
-0.400 -1.565 4.943
-4.812 -1.733 -0.938
2.142 -5.158 -1.460
ATOMIC_POSITIONS angstrom
As 1.071 -2.579 -0.730
Sb 0.000 0.000 0.000
Se -0.200 -0.783 2.471
Se -2.406 -0.866 -0.469
I -1.535 -4.228 1.272
```

Raw formation energy (eV/atom): 0.62
Space-group type: No. 123
Density of states at the Fermi level (states/eV/f.u.): 6.42
DFT total energy (eV/atom): -2.837

Entry 4:
SbAs2SeI | PBE | optimized geometry Values from VASP.

Structure (Quantum ESPRESSO input):
```
&SYSTEM
  ibrav = 0, nat = 5, ntyp = 4
/
ATOMIC_SPECIES
Se 78.96 Se.upf
As 74.92 As.upf
I 126.90 I.upf
Sb 121.76 Sb.upf
CELL_PARAMETERS angstrom
-1.267 -5.209 1.053
2.139 0.429 4.695
-4.811 1.584 2.048
ATOMIC_POSITIONS angstrom
Se 1.070 0.214 2.347
As -2.406 0.792 1.024
As -0.633 -2.605 0.527
I -1.969 -1.598 3.898
Sb 0.000 0.000 0.000
```

Raw formation energy (eV/atom): 0.77
Space-group type: No. 123
Density of states at the Fermi level (states/eV/f.u.): 5.89
DFT total energy (eV/atom): -2.919

Entry 5:
Sb2AsSeI | PBE | optimized geometry Values from VASP.

Structure (Quantum ESPRESSO input):
```
&SYSTEM
  ibrav = 0, nat = 5, ntyp = 4
/
ATOMIC_SPECIES
Sb 121.76 Sb.upf
I 126.90 I.upf
Se 78.96 Se.upf
As 74.92 As.upf
CELL_PARAMETERS angstrom
5.513 0.000 0.000
0.000 5.513 0.000
0.000 0.000 5.371
ATOMIC_POSITIONS angstrom
Sb 2.757 0.000 0.000
Sb 0.000 2.757 0.000
I 0.000 0.000 2.685
Se 2.757 2.757 2.685
As 0.000 0.000 0.000
```

Raw formation energy (eV/atom): 0.71
Space-group type: No. 123
Density of states at the Fermi level (states/eV/f.u.): 5.68
DFT total energy (eV/atom): -2.880

Entry 6:
SbAsSeI2 | PBE | optimized geometry Values from VASP.

Structure (Quantum ESPRESSO input):
```
&SYSTEM
  ibrav = 0, nat = 5, ntyp = 4
/
ATOMIC_SPECIES
As 74.92 As.upf
Sb 121.76 Sb.upf
I 126.90 I.upf
Se 78.96 Se.upf
CELL_PARAMETERS angstrom
-0.339 -3.305 -4.348
4.778 1.930 -1.839
2.764 -4.088 2.892
ATOMIC_POSITIONS angstrom
As 0.000 0.000 0.000
Sb 1.382 -2.044 1.446
I 2.389 0.965 -0.920
I -0.169 -1.652 -2.174
Se 3.602 -2.731 -1.648
```

Raw formation energy (eV/atom): 0.60
Space-group type: No. 123
Density of states at the Fermi level (states/eV/f.u.): 5.56
DFT total energy (eV/atom): -2.475

Question: Among the records above, which one has the lowest raw formation energy?
Answer: number 2